No. 1
Below is a geometry-optimized MgZr2Ta structure, with properties calculated at the GGA-PBE level.

Cell and atoms, written as POSCAR:
```
MgZr2Ta
1.0
10.3343 -0.0122 -0.0071
9.8547 3.1120 -0.0071
9.8547 1.5131 2.7194
Mg Zr Ta
1 2 1
Direct
0.2500 0.2500 0.2500
0.0047 0.0047 0.0047
0.4953 0.4953 0.4953
0.7500 0.7500 0.7500
```

Results
Calculated volume = 22.00 A^3/atom
Density of states at the Fermi level = 0.727 states/eV per atom
DFT formation energy = 0.1410 eV per atom
Magnetic moment = 0.00 Bohr magnetons per cell

=====

No. 2
Below is a geometry-optimized Tc2AgOs structure, with properties calculated at the GGA-PBE level.

Cell and atoms, written as POSCAR:
```
Tc2AgOs
1.0
4.4215 0.0000 0.0000
2.2107 3.8291 0.0000
2.2107 1.2764 3.6101
Tc Ag Os
2 1 1
Direct
0.7500 0.7500 0.7500
0.0000 0.0000 0.0000
0.5000 0.5000 0.5000
0.2500 0.2500 0.2500
```

Results
Calculated volume = 15.28 A^3/atom
Density of states at the Fermi level = 1.314 states/eV per atom
DFT formation energy = 0.7049 eV per atom
Excess energy over the best structure of this formula in the dataset = 441 meV/atom
Magnetic moment = 0.00 Bohr magnetons per cell

=====

No. 3
Below is a geometry-optimized Sm2HoPt structure, with properties calculated at the GGA-PBE level.

Cell and atoms, written as POSCAR:
```
Sm2HoPt
1.0
3.7417 0.0000 0.0000
1.8709 3.2404 0.0000
1.8709 1.0801 10.6421
Pt Sm Ho
1 2 1
Direct
0.5000 0.5000 0.5000
0.8914 0.8914 0.3257
0.1086 0.1086 0.6743
0.0000 0.0000 0.0000
```

Results
Calculated volume = 32.26 A^3/atom
Density of states at the Fermi level = 1.464 states/eV per atom
DFT formation energy = -0.2409 eV per atom
Excess energy over the best structure of this formula in the dataset = 432 meV/atom
Magnetic moment = 0.00 Bohr magnetons per cell